## one
A geometry-optimized AgSnHg structure. Source: Alexandria, functional PBE.

Cell: 3.404 3.404 6.956 Å, 90.00 90.00 120.00°
Element x y z (fractional)
Ag1 0.000 0.000 0.000
Sn1 0.333 0.667 0.682
Hg1 0.667 0.333 0.317

## Properties
The space group is P3m1. For the total magnetization, the calculation gives 0.000 μB per cell. Its crystal system is trigonal. The value obtained for the volume is 70 Å³/cell.

=====

## two
A geometry-optimized AgSnHg structure. Source: Alexandria, functional PBE.

Cell: 3.179 3.179 15.543 Å, 90.00 90.00 90.00°
Element x y z (fractional)
Ag1 0.000 0.000 0.000
Ag2 0.500 0.500 0.500
Sn1 0.000 0.000 0.371
Sn2 0.500 0.500 0.871
Hg1 0.000 0.000 0.179
Hg2 0.500 0.500 0.679

## Properties
The space group is I4mm. For the total magnetization, the calculation gives 0.000 μB per cell. Its crystal system is tetragonal. The value obtained for the volume is 157 Å³/cell.

=====

According to the calculations, the structures order from most to least stable as one, two.